#A
## TiFe2O4 (GGA-PBEsol)

Data for TiFe2O4 after structural relaxation.

Output
Magnetization = 1.14 μB per atom
Calculated volume = 10.21 A^3/atom

Lattice parameters (Å, degrees): 4.948 4.948 10.389 90.00 90.00 145.83
Fractional coordinates of all 14 atoms:
Ti 0.134 0.866 0.500
Ti 0.866 0.134 0.000
Fe 0.131 0.869 0.841
Fe 0.417 0.583 0.735
Fe 0.583 0.417 0.235
Fe 0.869 0.131 0.341
O 0.038 0.962 0.658
O 0.216 0.784 0.309
O 0.243 0.757 0.028
O 0.497 0.503 0.923
O 0.503 0.497 0.423
O 0.757 0.243 0.528
O 0.784 0.216 0.809
O 0.962 0.038 0.158

=====

#B
## TiFe2O4 (GGA-PBEsol)

Data for TiFe2O4 after structural relaxation.

Output
Magnetization = 0.57 μB per atom
Calculated volume = 9.85 A^3/atom

Lattice parameters (Å, degrees): 5.755 5.755 5.755 118.55 118.16 92.87
Fractional coordinates of all 14 atoms:
Ti 0.500 0.000 0.000
Ti 0.500 0.500 0.500
Fe 0.000 0.000 0.000
Fe 0.130 0.380 0.750
Fe 0.500 0.000 0.500
Fe 0.870 0.620 0.250
O 0.249 0.216 0.467
O 0.249 0.782 0.033
O 0.266 0.247 0.019
O 0.272 0.753 0.519
O 0.728 0.247 0.481
O 0.734 0.753 0.981
O 0.751 0.218 0.967
O 0.751 0.784 0.533

=====

#C
## TiFe2O4 (GGA-PBEsol)

Data for TiFe2O4 after structural relaxation.

Output
Magnetization = 1.00 μB per atom
Calculated volume = 10.16 A^3/atom

Lattice parameters (Å, degrees): 5.692 5.692 10.442 98.17 98.17 58.50
Fractional coordinates of all 28 atoms:
Ti 0.000 0.000 0.000
Ti 0.000 0.000 0.500
Ti 0.284 0.716 0.750
Ti 0.716 0.284 0.250
Fe 0.000 0.500 0.000
Fe 0.012 0.410 0.745
Fe 0.410 0.012 0.245
Fe 0.500 0.000 0.500
Fe 0.500 0.500 0.000
Fe 0.500 0.500 0.500
Fe 0.590 0.988 0.755
Fe 0.988 0.590 0.255
O 0.106 0.121 0.357
O 0.121 0.106 0.857
O 0.149 0.634 0.893
O 0.156 0.635 0.414
O 0.355 0.361 0.173
O 0.361 0.355 0.673
O 0.365 0.844 0.086
O 0.366 0.851 0.607
O 0.634 0.149 0.393
O 0.635 0.156 0.914
O 0.639 0.645 0.327
O 0.645 0.639 0.827
O 0.844 0.365 0.586
O 0.851 0.366 0.107
O 0.879 0.894 0.143
O 0.894 0.879 0.643

=====

Which of them is least stable? Easy: #C.

=====

#A
## FeOs2 (GGA-PBEsol)

Data for FeOs2 after structural relaxation.

Output
Magnetization = 0.00 μB per atom
Calculated volume = 12.79 A^3/atom

Lattice parameters (Å, degrees): 6.946 6.946 4.207 90.00 90.00 157.78
Fractional coordinates of all 6 atoms:
Fe 0.225 0.775 0.750
Fe 0.775 0.225 0.250
Os 0.119 0.881 0.250
Os 0.441 0.559 0.250
Os 0.559 0.441 0.750
Os 0.881 0.119 0.750

=====

#B
## FeOs2 (GGA-PBEsol)

Data for FeOs2 after structural relaxation.

Output
Magnetization = 0.00 μB per atom
Calculated volume = 12.79 A^3/atom

Lattice parameters (Å, degrees): 4.948 4.948 6.188 102.54 102.54 31.34
Fractional coordinates of all 6 atoms:
Fe 0.000 0.000 0.000
Fe 0.668 0.668 0.335
Os 0.059 0.059 0.608
Os 0.335 0.335 0.669
Os 0.392 0.392 0.273
Os 0.718 0.718 0.954

=====

#C
## FeOs2 (GGA-PBEsol)

Data for FeOs2 after structural relaxation.

Output
Magnetization = 0.00 μB per atom
Calculated volume = 12.72 A^3/atom

Lattice parameters (Å, degrees): 4.938 4.938 6.193 103.49 103.49 31.39
Fractional coordinates of all 6 atoms:
Fe 0.029 0.029 0.309
Fe 0.971 0.971 0.691
Os 0.312 0.312 0.365
Os 0.363 0.363 0.969
Os 0.637 0.637 0.031
Os 0.688 0.688 0.635

=====

Which of them is least stable? Easy: #A.